[1]
LaScAlCu: relaxed, GGA-PBE.

Calculated values
- DFT formation energy: -0.21 eV/atom
- M_tot: 0.0 μB per cell

Unit cell a=7.1343 b=7.1343 c=7.1343 alpha=90.00 beta=90.00 gamma=90.00
Space group F-43m (No. 216)
One atom of each set of equivalent atoms:
La (0.0000, 0.0000, 0.0000) (multiplicity 4)
Sc (0.0000, 0.0000, 0.5000) (multiplicity 4)
Al (0.2500, 0.2500, 0.2500) (multiplicity 4)
Cu (0.2500, 0.2500, 0.7500) (multiplicity 4)

[2]
La2AlCu4Si3: relaxed, GGA-PBE.

Calculated values
- Uncorrected energy: -5.167 eV per atom
- M_tot: 0.0 μB per cell

Unit cell a=4.1452 b=4.1452 c=10.1860 alpha=90.00 beta=90.00 gamma=90.00
Space group P-4m2 (No. 115)
One atom of each set of equivalent atoms:
La (0.0000, 0.5000, 0.2420) (multiplicity 2)
Al (0.0000, 0.0000, 0.5000) (multiplicity 1)
Cu (0.0000, 0.0000, 0.0000) (multiplicity 1)
Cu (0.0000, 0.5000, 0.6346) (multiplicity 2)
Cu (0.5000, 0.5000, 0.0000) (multiplicity 1)
Si (0.0000, 0.5000, 0.8733) (multiplicity 2)
Si (0.5000, 0.5000, 0.5000) (multiplicity 1)

[3]
LaAlCuSi2: relaxed, GGA-PBE.

Calculated values
- Uncorrected energy: -5.222 eV per atom
- M_tot: 0.0 μB per cell

Unit cell a=4.1296 b=4.1296 c=10.6898 alpha=90.00 beta=90.00 gamma=90.00
Space group I-4m2 (No. 119)
One atom of each set of equivalent atoms:
La (0.0000, 0.0000, 0.0000) (multiplicity 2)
Al (0.0000, 0.5000, 0.2500) (multiplicity 2)
Cu (0.0000, 0.5000, 0.7500) (multiplicity 2)
Si (0.0000, 0.0000, 0.3848) (multiplicity 4)